Below is a PBEsol-optimized structure of La3Re, with properties calculated at the meta-GGA SCAN level.

a b c (Å): 5.176 5.176 5.176
angles (deg): 60.00 60.00 60.00
Element x y z (fractional)
1 La 0.250 0.250 0.250
2 La 0.500 0.500 0.500
3 La 0.750 0.750 0.750
4 Re 0.000 0.000 0.000

Theoretical density: 10.21 g/cm3
DFT formation energy: 396.5 meV per atom
Crystal system: cubic